First-principles (GGA-PBE) data for an optimized crystal structure of ZnReSe, as listed in the Alexandria database.

For the total magnetic moment, the calculation gives 0.16 μB/atom. The formation energy without anion corrections is 932 meV/atom. Its density of states at the Fermi level is 12.75 states/eV/cell. Its crystal system is cubic. The calculation puts the energy relative to the lowest polymorph listed for this composition at 0.7699 eV per atom.

It has space group F-43m (No. 216), with a = 5.9555 Å, b = 5.9555 Å, c = 5.9555 Å, α = 90.00°, β = 90.00° and γ = 90.00°. The asymmetric unit holds Zn at (0.0000, 0.0000, 0.0000), Re at (0.0000, 0.0000, 0.5000) and Se at (0.2500, 0.2500, 0.2500).

First-principles (GGA-PBE) data for an optimized crystal structure of AcEuPuIn, as listed in the Alexandria database.

For the total magnetic moment, the calculation gives 3.72 μB/atom. Its density of states at the Fermi level is 43.12 states/eV/cell. Its crystal system is cubic. The formation energy is 51 meV/atom.

It has space group F-43m (No. 216), with a = 7.9773 Å, b = 7.9773 Å, c = 7.9773 Å, α = 90.00°, β = 90.00° and γ = 90.00°. The asymmetric unit holds Ac at (0.0000, 0.0000, 0.0000), Eu at (0.2500, 0.2500, 0.2500), Pu at (0.2500, 0.2500, 0.7500) and In at (0.0000, 0.0000, 0.5000).

First-principles (GGA-PBE) data for an optimized crystal structure of TaBe17Pd, as listed in the Alexandria database.

For the total magnetic moment, the calculation gives 0.00 μB/atom. Its density of states at the Fermi level is 4.92 states/eV/cell. Its crystal system is trigonal. The formation energy is -173 meV/atom.

It has space group R3m (No. 160, hexagonal axes), with a = 7.3349 Å, b = 7.3349 Å, c = 10.7170 Å, α = 90.00°, β = 90.00° and γ = 120.00°. The asymmetric unit holds Ta at (0.0000, 0.0000, 0.0000), Be at (0.0000, 0.0000, 0.2414), Be at (0.0000, 0.0000, 0.4427), Be at (0.0020, 0.5010, 0.1881), Be at (0.0043, 0.3004, 0.3393), Be at (0.0090, 0.5045, 0.4963), Be at (0.0152, 0.5076, 0.8331) and Pd at (0.0000, 0.0000, 0.6869).